A plane-wave DFT calculation with PBE was carried out for a relaxed structure of DyZrGa2.

The structure belongs to space group Fm-3m (No. 225); the cell edges are 6.932, 6.932 and 6.932 Å and the angles 90.00°, 90.00° and 90.00°. The inequivalent atoms are Dy at (0.000, 0.000, 0.000), Zr at (0.000, 0.000, 0.500) and Ga at (0.250, 0.250, 0.250).

The value obtained for the formation energy is -0.45 eV per atom. The value obtained for the excess energy over the best structure of this formula in the dataset is 50.7 kJ/mol of formula units. As for the calculated volume: 20.81 Å³ per atom. As for the total energy: -83.94 eV for the cell shown.